Version one
DFT (PBE) results for a relaxed structure of Ce4Pa3. Values from VASP.

total magnetization: 0.00 μB/f.u.
D(E_F): 2.19 states/eV/atom

Cell and atoms, written as Quantum ESPRESSO input:
```
&SYSTEM
  ibrav = 0, nat = 7, ntyp = 2
/
ATOMIC_SPECIES
Ce 140.12 Ce.upf
Pa 231.04 Pa.upf
ATOMIC_POSITIONS angstrom
Ce 2.3203 2.3260 2.3572
Ce 2.3203 2.3260 11.8354
Ce 2.3203 2.3260 21.3764
Ce 2.3203 2.3260 30.8546
Pa 2.3203 2.3260 7.1343
Pa 2.3203 2.3260 16.6059
Pa 2.3203 2.3260 26.0775
CELL_PARAMETERS angstrom
0.0000 2.3260 16.6059
2.3203 0.0000 16.6059
2.3203 2.3260 0.0000
```

---

Version two
DFT (PBE) results for a relaxed structure of Ce4Pa3. Values from VASP.

total magnetization: 0.00 μB/f.u.
D(E_F): 2.23 states/eV/atom

Cell and atoms, written as Quantum ESPRESSO input:
```
&SYSTEM
  ibrav = 0, nat = 7, ntyp = 2
/
ATOMIC_SPECIES
Ce 140.12 Ce.upf
Pa 231.04 Pa.upf
ATOMIC_POSITIONS angstrom
Ce 0.5117 0.0000 1.5626
Ce 1.5016 0.0000 4.6985
Ce 7.7880 0.0000 2.5975
Ce 8.7779 0.0000 5.7334
Pa 3.6364 0.0000 0.5271
Pa 4.6448 0.0000 3.6480
Pa 5.6532 0.0000 6.7689
CELL_PARAMETERS angstrom
5.1988 -2.3630 0.0000
5.1988 2.3630 0.0000
-1.1079 0.0000 7.2960
```

---

The data favor version one; the next most stable structure lies 0.024 eV/atom above it.

---

Version one
DFT (PBE) results for a relaxed structure of Ce2PaPb. Values from VASP.

total magnetization: 2.15 μB/f.u.
D(E_F): 2.99 states/eV/atom

Cell and atoms, written as Quantum ESPRESSO input:
```
&SYSTEM
  ibrav = 0, nat = 4, ntyp = 3
/
ATOMIC_SPECIES
Ce 140.12 Ce.upf
Pa 231.04 Pa.upf
Pb 207.20 Pb.upf
ATOMIC_POSITIONS angstrom
Ce 0.0000 0.0000 1.7059
Ce 0.0000 0.0000 5.2199
Pa 1.9834 1.9834 0.0000
Pb 1.9834 1.9834 3.4629
CELL_PARAMETERS angstrom
3.9667 0.0000 0.0000
0.0000 3.9667 0.0000
0.0000 0.0000 6.9257
```

---

Version two
DFT (PBE) results for a relaxed structure of Ce2PaPb. Values from VASP.

total magnetization: 3.85 μB/f.u.
D(E_F): 2.97 states/eV/atom

Cell and atoms, written as Quantum ESPRESSO input:
```
&SYSTEM
  ibrav = 0, nat = 4, ntyp = 3
/
ATOMIC_SPECIES
Ce 140.12 Ce.upf
Pa 231.04 Pa.upf
Pb 207.20 Pb.upf
ATOMIC_POSITIONS angstrom
Ce 1.9077 1.9077 1.9077
Ce 5.7231 5.7231 5.7231
Pa 0.0000 0.0000 0.0000
Pb 3.8154 3.8154 3.8154
CELL_PARAMETERS angstrom
0.0000 3.8154 3.8154
3.8154 0.0000 3.8154
3.8154 3.8154 0.0000
```

---

The data favor version one; the next most stable structure lies 0.109 eV/atom above it.

---

Version one
DFT (PBE) results for a relaxed structure of Ce2PaPb. Values from VASP.

total magnetization: 2.35 μB/f.u.
D(E_F): 2.72 states/eV/atom

Cell and atoms, written as Quantum ESPRESSO input:
```
&SYSTEM
  ibrav = 0, nat = 4, ntyp = 3
/
ATOMIC_SPECIES
Ce 140.12 Ce.upf
Pa 231.04 Pa.upf
Pb 207.20 Pb.upf
ATOMIC_POSITIONS angstrom
Ce 0.0000 2.4101 0.0000
Ce 2.4101 0.0000 0.0000
Pa 0.0000 0.0000 2.3333
Pb 2.4101 2.4101 2.3333
CELL_PARAMETERS angstrom
4.8203 0.0000 0.0000
0.0000 4.8203 0.0000
0.0000 0.0000 4.6666
```

---

Version two
DFT (PBE) results for a relaxed structure of Ce2PaPb. Values from VASP.

total magnetization: 0.00 μB/f.u.
D(E_F): 2.44 states/eV/atom

Cell and atoms, written as Quantum ESPRESSO input:
```
&SYSTEM
  ibrav = 0, nat = 4, ntyp = 3
/
ATOMIC_SPECIES
Ce 140.12 Ce.upf
Pa 231.04 Pa.upf
Pb 207.20 Pb.upf
ATOMIC_POSITIONS angstrom
Ce 0.0000 0.0000 5.8145
Ce 0.0000 0.0000 19.2928
Pa 0.0000 0.0000 12.5536
Pb 0.0000 0.0000 0.0000
CELL_PARAMETERS angstrom
1.9417 1.1210 8.3691
-1.9417 1.1210 8.3691
0.0000 -2.2421 8.3691
```

---

The data favor version one; the next most stable structure lies 0.377 eV/atom above it.

---

Version one
DFT (PBE) results for a relaxed structure of Ce2PaPd. Values from VASP.

total magnetization: 0.01 μB/f.u.
D(E_F): 2.12 states/eV/atom

Cell and atoms, written as Quantum ESPRESSO input:
```
&SYSTEM
  ibrav = 0, nat = 4, ntyp = 3
/
ATOMIC_SPECIES
Ce 140.12 Ce.upf
Pa 231.04 Pa.upf
Pd 106.42 Pd.upf
ATOMIC_POSITIONS angstrom
Ce 0.0000 0.0000 1.8677
Ce 0.0000 0.0000 6.2465
Pa 1.7248 1.7248 4.0571
Pd 1.7248 1.7248 0.0000
CELL_PARAMETERS angstrom
3.4496 0.0000 0.0000
0.0000 3.4496 0.0000
0.0000 0.0000 8.1141
```

---

Version two
DFT (PBE) results for a relaxed structure of Ce2PaPd. Values from VASP.

total magnetization: 0.00 μB/f.u.
D(E_F): 1.92 states/eV/atom

Cell and atoms, written as Quantum ESPRESSO input:
```
&SYSTEM
  ibrav = 0, nat = 4, ntyp = 3
/
ATOMIC_SPECIES
Ce 140.12 Ce.upf
Pa 231.04 Pa.upf
Pd 106.42 Pd.upf
ATOMIC_POSITIONS angstrom
Ce 0.0000 0.0000 2.9556
Ce 0.0000 0.0000 29.6005
Pa 0.0000 0.0000 0.0000
Pd 0.0000 0.0000 16.2781
CELL_PARAMETERS angstrom
1.5419 0.8902 10.8520
-1.5419 0.8902 10.8520
0.0000 -1.7804 10.8520
```

---

The data favor version one; the next most stable structure lies 0.195 eV/atom above it.